(1)
Entry from the Alexandria database: a relaxed LaTb2ErIn4 crystal (GGA-PBE).

Summary:
**Space-group type**: R-3m, No. 166
**Density**: 8.11 Mg/m³
**Formation energy**: -0.467 eV per atom
**E**: -33.44 eV/cell
**M_tot**: 0.000 μB/atom

a b c (Å): 5.3819 5.3819 9.3699
angles (deg): 73.31 73.31 60.00
Positions (direct):
La 0.0000 0.0000 0.0000
Tb 0.7508 0.7508 0.7477
Tb 0.2492 0.2492 0.2523
Er 0.5000 0.5000 0.5000
In 0.3776 0.3776 0.8671
In 0.8727 0.8727 0.3819
In 0.1273 0.1273 0.6181
In 0.6224 0.6224 0.1329

=====

(2)
Entry from the Alexandria database: a relaxed LiThTlAu crystal (GGA-PBE).

Summary:
**Space-group type**: F-43m, No. 216
**Density**: 11.09 Mg/m³
**Formation energy**: -0.349 eV per atom
**E**: -16.37 eV/cell
**M_tot**: 0.000 μB/atom

a b c (Å): 5.1378 5.1378 5.1378
angles (deg): 60.00 60.00 60.00
Positions (direct):
Tl 0.2500 0.2500 0.2500
Au 0.7500 0.7500 0.7500
Th 0.0000 0.0000 0.0000
Li 0.5000 0.5000 0.5000